First-principles (PBE) data for crystalline CaYErMg at its relaxed geometry, as listed in the Alexandria database.

```
4
Lattice="-5.287 -1.733 -0.249 -2.281 -2.616 4.356 -3.911 2.545 3.041" Properties=species:S:1:pos:R:3 pbc="T T T"
Ca -2.870 -0.451 1.787
Mg -8.609 -1.353 5.361
Y 0.000 0.000 0.000
Er -5.740 -0.902 3.574
```

Space group: No. 216
Formation energy from the elements: 0.085 eV/atom
Spin magnetization: 0.000 Bohr magnetons per cell